# Ba2CaIn12Pt3, relaxed, DFT PBE-GGA
# ρ = 6628 kg/m³
# electronic total energy = -3.335 eV per atom
# magnetization = 0.000 μB per atom
data_Ba2CaIn12Pt3
_cell_length_a 8.985
_cell_length_b 8.985
_cell_length_c 8.985
_cell_angle_alpha 65.17
_cell_angle_beta 65.17
_cell_angle_gamma 65.17
_space_group_name_H-M_alt 'P 1'
_space_group_IT_number 1
_space_group_name_Hall 'P 1'
loop_
_atom_site_label
_atom_site_fract_x
_atom_site_fract_y
_atom_site_fract_z
_atom_site_occupancy
In1 0.734 0.734 0.130 1
Pt1 0.000 0.000 0.500 1
Ba1 0.584 0.584 0.584 1
In2 0.266 0.870 0.266 1
In3 0.734 0.130 0.734 1
In4 0.870 0.266 0.266 1
Pt2 0.000 0.500 0.000 1
Ba2 0.416 0.416 0.416 1
Pt3 0.500 0.000 0.000 1
In5 0.544 0.164 0.164 1
Ca1 0.000 0.000 0.000 1
In6 0.456 0.836 0.836 1
In7 0.130 0.734 0.734 1
In8 0.836 0.456 0.836 1
In9 0.836 0.836 0.456 1
In10 0.266 0.266 0.870 1
In11 0.164 0.544 0.164 1
In12 0.164 0.164 0.544 1

# BaCa2InRh, relaxed, DFT PBE-GGA
# excess energy over the best structure of this formula in the dataset = 0.000 eV per atom
# ρ = 4432 kg/m³
# electronic total energy = -3.544 eV per atom
# magnetization = 0.000 μB per atom
data_BaCa2InRh
_cell_length_a 5.495
_cell_length_b 5.495
_cell_length_c 5.401
_cell_angle_alpha 90.00
_cell_angle_beta 90.00
_cell_angle_gamma 90.00
_space_group_name_H-M_alt 'P 1'
_space_group_IT_number 1
_space_group_name_Hall 'P 1'
loop_
_atom_site_label
_atom_site_fract_x
_atom_site_fract_y
_atom_site_fract_z
_atom_site_occupancy
Rh1 0.000 0.000 0.000 1
In1 0.000 0.000 0.500 1
Ca1 0.500 0.000 0.000 1
Ba1 0.500 0.500 0.500 1
Ca2 0.000 0.500 0.000 1

# BaCa2InRh, relaxed, DFT PBE-GGA
# excess energy over the best structure of this formula in the dataset = 0.140 eV per atom
# ρ = 4003 kg/m³
# electronic total energy = -3.403 eV per atom
# magnetization = 0.000 μB per atom
data_BaCa2InRh
_cell_length_a 5.519
_cell_length_b 5.519
_cell_length_c 5.926
_cell_angle_alpha 90.00
_cell_angle_beta 90.00
_cell_angle_gamma 90.00
_space_group_name_H-M_alt 'P 1'
_space_group_IT_number 1
_space_group_name_Hall 'P 1'
loop_
_atom_site_label
_atom_site_fract_x
_atom_site_fract_y
_atom_site_fract_z
_atom_site_occupancy
In1 0.500 0.500 0.500 1
Ba1 0.000 0.000 0.500 1
Ca1 0.500 0.000 0.000 1
Ca2 0.000 0.500 0.000 1
Rh1 0.000 0.000 0.000 1

# BaCa2InS, relaxed, DFT PBE-GGA
# ρ = 3384 kg/m³
# electronic total energy = -3.447 eV per atom
# ΔE_f (raw) = -0.888 eV per atom
# magnetization = 0.000 μB per atom
data_BaCa2InS
_cell_length_a 5.426
_cell_length_b 5.426
_cell_length_c 6.073
_cell_angle_alpha 90.00
_cell_angle_beta 90.00
_cell_angle_gamma 90.00
_space_group_name_H-M_alt 'P 1'
_space_group_IT_number 1
_space_group_name_Hall 'P 1'
loop_
_atom_site_label
_atom_site_fract_x
_atom_site_fract_y
_atom_site_fract_z
_atom_site_occupancy
In1 0.500 0.500 0.500 1
Ba1 0.000 0.000 0.500 1
Ca1 0.000 0.500 0.000 1
Ca2 0.500 0.000 0.000 1
S1 0.000 0.000 0.000 1

# Ba2CaInS, relaxed, DFT PBE-GGA
# ρ = 3793 kg/m³
# electronic total energy = -3.439 eV per atom
# ΔE_f (raw) = -0.896 eV per atom
# magnetization = 0.000 μB per atom
data_Ba2CaInS
_cell_length_a 6.175
_cell_length_b 6.175
_cell_length_c 5.300
_cell_angle_alpha 90.00
_cell_angle_beta 90.00
_cell_angle_gamma 90.00
_space_group_name_H-M_alt 'P 1'
_space_group_IT_number 1
_space_group_name_Hall 'P 1'
loop_
_atom_site_label
_atom_site_fract_x
_atom_site_fract_y
_atom_site_fract_z
_atom_site_occupancy
S1 0.000 0.000 0.000 1
Ba1 0.500 0.000 0.000 1
In1 0.500 0.500 0.500 1
Ca1 0.000 0.000 0.500 1
Ba2 0.000 0.500 0.000 1

# Ba2CaInS5, relaxed, DFT PBE-GGA
# ρ = 3947 kg/m³
# electronic total energy = -4.715 eV per atom
# ΔE_f (raw) = -1.468 eV per atom
# magnetization = 0.009 μB per atom
data_Ba2CaInS5
_cell_length_a 4.243
_cell_length_b 9.306
_cell_length_c 12.907
_cell_angle_alpha 90.00
_cell_angle_beta 90.00
_cell_angle_gamma 103.18
_space_group_name_H-M_alt 'P 1'
_space_group_IT_number 1
_space_group_name_Hall 'P 1'
loop_
_atom_site_label
_atom_site_fract_x
_atom_site_fract_y
_atom_site_fract_z
_atom_site_occupancy
S1 0.951 0.901 0.554 1
S2 0.318 0.635 0.371 1
S3 0.638 0.275 0.504 1
S4 0.290 0.581 0.660 1
S5 0.049 0.099 0.054 1
S6 0.507 0.014 0.275 1
S7 0.710 0.419 0.160 1
S8 0.493 0.986 0.775 1
Ca1 0.210 0.420 0.016 1
Ba1 0.115 0.229 0.685 1
Ba2 0.864 0.728 0.814 1
Ba3 0.885 0.771 0.185 1
In1 0.550 0.100 0.946 1
S9 0.682 0.365 0.871 1
In2 0.450 0.900 0.446 1
Ba4 0.136 0.272 0.314 1
S10 0.362 0.725 0.004 1
Ca2 0.790 0.580 0.516 1

# Ba2CaInSe, relaxed, DFT PBE-GGA
# ρ = 3390 kg/m³
# electronic total energy = -2.457 eV per atom
# ΔE_f (raw) = -0.043 eV per atom
# magnetization = 0.000 μB per atom
data_Ba2CaInSe
_cell_length_a 6.635
_cell_length_b 5.658
_cell_length_c 6.635
_cell_angle_alpha 90.00
_cell_angle_beta 90.00
_cell_angle_gamma 90.00
_space_group_name_H-M_alt 'P 1'
_space_group_IT_number 1
_space_group_name_Hall 'P 1'
loop_
_atom_site_label
_atom_site_fract_x
_atom_site_fract_y
_atom_site_fract_z
_atom_site_occupancy
Ba1 0.500 0.000 0.000 1
Ba2 0.000 0.000 0.500 1
Se1 0.000 0.500 0.000 1
Ca1 0.500 0.500 0.500 1
In1 0.000 0.000 0.000 1

# Ba2CaIn3Sn4, relaxed, DFT PBE-GGA
# ρ = 5676 kg/m³
# electronic total energy = -3.436 eV per atom
# magnetization = 0.000 μB per atom
data_Ba2CaIn3Sn4
_cell_length_a 5.075
_cell_length_b 5.075
_cell_length_c 12.881
_cell_angle_alpha 90.00
_cell_angle_beta 90.00
_cell_angle_gamma 90.00
_space_group_name_H-M_alt 'P 1'
_space_group_IT_number 1
_space_group_name_Hall 'P 1'
loop_
_atom_site_label
_atom_site_fract_x
_atom_site_fract_y
_atom_site_fract_z
_atom_site_occupancy
In1 0.500 0.000 0.871 1
Ca1 0.500 0.500 0.500 1
Sn1 0.000 0.000 0.000 1
Ba1 0.500 0.000 0.236 1
Ba2 0.000 0.500 0.764 1
Sn2 0.500 0.000 0.645 1
In2 0.000 0.000 0.500 1
In3 0.000 0.500 0.129 1
Sn3 0.000 0.500 0.355 1
Sn4 0.500 0.500 0.000 1

# BaCa2In2Sn2, relaxed, DFT PBE-GGA
# ρ = 4891 kg/m³
# electronic total energy = -3.178 eV per atom
# magnetization = 0.000 μB per atom
data_BaCa2In2Sn2
_cell_length_a 5.329
_cell_length_b 5.329
_cell_length_c 9.938
_cell_angle_alpha 74.45
_cell_angle_beta 74.45
_cell_angle_gamma 60.00
_space_group_name_H-M_alt 'P 1'
_space_group_IT_number 1
_space_group_name_Hall 'P 1'
loop_
_atom_site_label
_atom_site_fract_x
_atom_site_fract_y
_atom_site_fract_z
_atom_site_occupancy
Ca1 0.136 0.136 0.592 1
Sn1 0.254 0.254 0.239 1
In1 0.433 0.433 0.701 1
In2 0.567 0.567 0.299 1
Ba1 0.000 0.000 0.000 1
Ca2 0.864 0.864 0.408 1
Sn2 0.746 0.746 0.761 1

# BaSr2CaIn, relaxed, DFT PBE-GGA
# ρ = 2967 kg/m³
# electronic total energy = -2.067 eV per atom
# magnetization = 0.000 μB per atom
data_BaSr2CaIn
_cell_length_a 6.496
_cell_length_b 6.496
_cell_length_c 6.202
_cell_angle_alpha 90.00
_cell_angle_beta 90.00
_cell_angle_gamma 90.00
_space_group_name_H-M_alt 'P 1'
_space_group_IT_number 1
_space_group_name_Hall 'P 1'
loop_
_atom_site_label
_atom_site_fract_x
_atom_site_fract_y
_atom_site_fract_z
_atom_site_occupancy
In1 0.000 0.000 0.000 1
Ca1 0.000 0.000 0.500 1
Ba1 0.500 0.500 0.500 1
Sr1 0.500 0.000 0.000 1
Sr2 0.000 0.500 0.000 1

# BaSrCa2In, relaxed, DFT PBE-GGA
# excess energy over the best structure of this formula in the dataset = 0.050 eV per atom
# ρ = 2727 kg/m³
# electronic total energy = -2.082 eV per atom
# magnetization = 0.000 μB per atom
data_BaSrCa2In
_cell_length_a 6.178
_cell_length_b 6.178
_cell_length_c 6.698
_cell_angle_alpha 90.00
_cell_angle_beta 90.00
_cell_angle_gamma 90.00
_space_group_name_H-M_alt 'P 1'
_space_group_IT_number 1
_space_group_name_Hall 'P 1'
loop_
_atom_site_label
_atom_site_fract_x
_atom_site_fract_y
_atom_site_fract_z
_atom_site_occupancy
Sr1 0.500 0.500 0.500 1
Ca1 0.500 0.000 0.000 1
Ba1 0.000 0.000 0.500 1
In1 0.000 0.000 0.000 1
Ca2 0.000 0.500 0.000 1

# BaSrCa2In, relaxed, DFT PBE-GGA
# excess energy over the best structure of this formula in the dataset = 0.000 eV per atom
# ρ = 2832 kg/m³
# electronic total energy = -2.132 eV per atom
# magnetization = 0.001 μB per atom
data_BaSrCa2In
_cell_length_a 6.179
_cell_length_b 6.179
_cell_length_c 6.450
_cell_angle_alpha 90.00
_cell_angle_beta 90.00
_cell_angle_gamma 90.00
_space_group_name_H-M_alt 'P 1'
_space_group_IT_number 1
_space_group_name_Hall 'P 1'
loop_
_atom_site_label
_atom_site_fract_x
_atom_site_fract_y
_atom_site_fract_z
_atom_site_occupancy
Ba1 0.500 0.500 0.500 1
Ca1 0.500 0.000 0.000 1
In1 0.000 0.000 0.000 1
Ca2 0.000 0.500 0.000 1
Sr1 0.000 0.000 0.500 1

# Ba2SrCa2In5, relaxed, DFT PBE-GGA
# ρ = 4889 kg/m³
# electronic total energy = -2.649 eV per atom
# magnetization = 0.000 μB per atom
data_Ba2SrCa2In5
_cell_length_a 4.672
_cell_length_b 12.158
_cell_length_c 12.158
_cell_angle_alpha 90.00
_cell_angle_beta 90.00
_cell_angle_gamma 90.00
_space_group_name_H-M_alt 'P 1'
_space_group_IT_number 1
_space_group_name_Hall 'P 1'
loop_
_atom_site_label
_atom_site_fract_x
_atom_site_fract_y
_atom_site_fract_z
_atom_site_occupancy
Ba1 0.000 0.824 0.676 1
In1 0.500 0.559 0.699 1
In2 0.500 0.801 0.941 1
Ba2 0.000 0.176 0.324 1
Ca1 0.000 0.623 0.877 1
In3 0.500 0.301 0.559 1
Sr1 0.000 0.000 0.000 1
Ca2 0.000 0.877 0.377 1
In4 0.500 0.941 0.199 1
Ba3 0.000 0.676 0.176 1
In5 0.500 0.699 0.441 1
In6 0.500 0.500 0.000 1
In7 0.500 0.441 0.301 1
In8 0.500 0.000 0.500 1
Ba4 0.000 0.324 0.824 1
Ca3 0.000 0.123 0.623 1
Sr2 0.000 0.500 0.500 1
In9 0.500 0.199 0.059 1
In10 0.500 0.059 0.801 1
Ca4 0.000 0.377 0.123 1

# Ba2SrCaIn, relaxed, DFT PBE-GGA
# ρ = 3006 kg/m³
# electronic total energy = -2.057 eV per atom
# magnetization = 0.109 μB per atom
data_Ba2SrCaIn
_cell_length_a 6.791
_cell_length_b 6.791
_cell_length_c 6.195
_cell_angle_alpha 90.00
_cell_angle_beta 90.00
_cell_angle_gamma 90.00
_space_group_name_H-M_alt 'P 1'
_space_group_IT_number 1
_space_group_name_Hall 'P 1'
loop_
_atom_site_label
_atom_site_fract_x
_atom_site_fract_y
_atom_site_fract_z
_atom_site_occupancy
In1 0.000 0.000 0.000 1
Ca1 0.000 0.000 0.500 1
Sr1 0.500 0.500 0.500 1
Ba1 0.500 0.000 0.000 1
Ba2 0.000 0.500 0.000 1

# Ba2CaInTe5, relaxed, DFT PBE-GGA
# ρ = 5236 kg/m³
# electronic total energy = -3.885 eV per atom
# ΔE_f (raw) = -1.186 eV per atom
# magnetization = 0.000 μB per atom
data_Ba2CaInTe5
_cell_length_a 4.634
_cell_length_b 10.556
_cell_length_c 14.189
_cell_angle_alpha 90.00
_cell_angle_beta 90.00
_cell_angle_gamma 102.68
_space_group_name_H-M_alt 'P 1'
_space_group_IT_number 1
_space_group_name_Hall 'P 1'
loop_
_atom_site_label
_atom_site_fract_x
_atom_site_fract_y
_atom_site_fract_z
_atom_site_occupancy
Ca1 0.790 0.579 0.518 1
Te1 0.296 0.593 0.669 1
In1 0.437 0.875 0.438 1
Te2 0.497 0.995 0.767 1
Te3 0.308 0.615 0.360 1
Te4 0.361 0.722 0.007 1
Te5 0.503 0.005 0.267 1
Ba1 0.120 0.239 0.687 1
In2 0.563 0.125 0.938 1
Te6 0.704 0.407 0.169 1
Te7 0.639 0.278 0.507 1
Ba2 0.128 0.256 0.321 1
Ca2 0.210 0.421 0.018 1
Te8 0.692 0.385 0.860 1
Ba3 0.880 0.761 0.187 1
Ba4 0.872 0.744 0.821 1
Te9 0.052 0.103 0.057 1
Te10 0.948 0.897 0.557 1

# Ba2CaTl6In, relaxed, DFT PBE-GGA
# ρ = 7049 kg/m³
# electronic total energy = -2.379 eV per atom
# magnetization = 0.000 μB per atom
data_Ba2CaTl6In
_cell_length_a 8.201
_cell_length_b 8.201
_cell_length_c 8.201
_cell_angle_alpha 60.00
_cell_angle_beta 60.00
_cell_angle_gamma 90.00
_space_group_name_H-M_alt 'P 1'
_space_group_IT_number 1
_space_group_name_Hall 'P 1'
loop_
_atom_site_label
_atom_site_fract_x
_atom_site_fract_y
_atom_site_fract_z
_atom_site_occupancy
Tl1 0.246 0.754 0.000 1
Ca1 0.500 0.500 0.000 1
Ba1 0.250 0.750 0.500 1
Tl2 0.754 0.754 0.491 1
Ba2 0.750 0.250 0.500 1
Tl3 0.754 0.754 0.000 1
Tl4 0.754 0.246 0.000 1
Tl5 0.246 0.246 0.000 1
In1 0.000 0.000 0.000 1
Tl6 0.246 0.246 0.509 1

# Ba2CaTl3In4, relaxed, DFT PBE-GGA
# ρ = 6897 kg/m³
# electronic total energy = -2.697 eV per atom
# magnetization = 0.000 μB per atom
data_Ba2CaTl3In4
_cell_length_a 5.002
_cell_length_b 5.002
_cell_length_c 13.350
_cell_angle_alpha 90.00
_cell_angle_beta 90.00
_cell_angle_gamma 90.00
_space_group_name_H-M_alt 'P 1'
_space_group_IT_number 1
_space_group_name_Hall 'P 1'
loop_
_atom_site_label
_atom_site_fract_x
_atom_site_fract_y
_atom_site_fract_z
_atom_site_occupancy
Tl1 0.000 0.000 0.500 1
Ca1 0.500 0.500 0.500 1
Ba1 0.000 0.500 0.764 1
In1 0.500 0.000 0.645 1
Tl2 0.000 0.500 0.135 1
Ba2 0.500 0.000 0.236 1
In2 0.500 0.500 0.000 1
In3 0.000 0.000 0.000 1
In4 0.000 0.500 0.355 1
Tl3 0.500 0.000 0.865 1

# BaCa2Tl2In2, relaxed, DFT PBE-GGA
# ρ = 6085 kg/m³
# electronic total energy = -2.634 eV per atom
# magnetization = 0.000 μB per atom
data_BaCa2Tl2In2
_cell_length_a 5.223
_cell_length_b 5.223
_cell_length_c 10.337
_cell_angle_alpha 75.37
_cell_angle_beta 75.37
_cell_angle_gamma 60.00
_space_group_name_H-M_alt 'P 1'
_space_group_IT_number 1
_space_group_name_Hall 'P 1'
loop_
_atom_site_label
_atom_site_fract_x
_atom_site_fract_y
_atom_site_fract_z
_atom_site_occupancy
In1 0.743 0.743 0.771 1
Ba1 0.000 0.000 0.000 1
Ca1 0.864 0.864 0.409 1
Tl1 0.438 0.438 0.687 1
Ca2 0.136 0.136 0.591 1
Tl2 0.562 0.562 0.313 1
In2 0.257 0.257 0.229 1

# BaCaTl2In2, relaxed, DFT PBE-GGA
# ρ = 7035 kg/m³
# electronic total energy = -2.718 eV per atom
# magnetization = 0.000 μB per atom
data_BaCaTl2In2
_cell_length_a 5.211
_cell_length_b 5.211
_cell_length_c 8.189
_cell_angle_alpha 90.00
_cell_angle_beta 90.00
_cell_angle_gamma 120.00
_space_group_name_H-M_alt 'P 1'
_space_group_IT_number 1
_space_group_name_Hall 'P 1'
loop_
_atom_site_label
_atom_site_fract_x
_atom_site_fract_y
_atom_site_fract_z
_atom_site_occupancy
Ca1 0.000 0.000 0.500 1
In1 0.333 0.667 0.735 1
Tl1 0.333 0.667 0.315 1
Tl2 0.667 0.333 0.685 1
In2 0.667 0.333 0.265 1
Ba1 0.000 0.000 0.000 1

# BaCaIn2W, relaxed, DFT PBE-GGA
# excess energy over the best structure of this formula in the dataset = 0.000 eV per atom
# ρ = 4428 kg/m³
# electronic total energy = -2.827 eV per atom
# magnetization = 0.797 μB per atom
data_BaCaIn2W
_cell_length_a 5.804
_cell_length_b 6.577
_cell_length_c 5.804
_cell_angle_alpha 90.00
_cell_angle_beta 90.00
_cell_angle_gamma 90.00
_space_group_name_H-M_alt 'P 1'
_space_group_IT_number 1
_space_group_name_Hall 'P 1'
loop_
_atom_site_label
_atom_site_fract_x
_atom_site_fract_y
_atom_site_fract_z
_atom_site_occupancy
In1 0.000 0.000 0.500 1
Ca1 0.000 0.000 0.000 1
Ba1 0.000 0.500 0.000 1
In2 0.500 0.000 0.000 1
W1 0.500 0.500 0.500 1